(1)
VASP calculation (PBE) on crystalline KSr4Hg5 at its relaxed geometry.

Summary:
As for the crystal system: tetragonal. Its space-group type is No. 123. As for the formation energy: -0.454 eV/atom.

Unit cell a=3.990 b=3.990 c=20.721 alpha=90.00 beta=90.00 gamma=90.00
Fractional coordinates of all 10 atoms:
K1 0.000 0.000 0.000
Sr1 0.000 0.000 0.209
Sr2 0.000 0.000 0.404
Sr3 0.000 0.000 0.596
Sr4 0.000 0.000 0.791
Hg1 0.500 0.500 0.115
Hg2 0.500 0.500 0.305
Hg3 0.500 0.500 0.500
Hg4 0.500 0.500 0.695
Hg5 0.500 0.500 0.885

***

(2)
VASP calculation (PBE) on crystalline BeAgBr2 at its relaxed geometry.

Summary:
As for the crystal system: tetragonal. Its space-group type is No. 123. The calculation puts the energy at -2.10 eV/atom.

Unit cell a=3.386 b=3.386 c=7.204 alpha=90.00 beta=90.00 gamma=90.00
Fractional coordinates of all 4 atoms:
Be1 0.000 0.000 0.000
Ag1 0.000 0.000 0.500
Br1 0.500 0.500 0.223
Br2 0.500 0.500 0.777

***

(3)
VASP calculation (PBE) on crystalline K2Ta2PbO7 at its relaxed geometry.

Summary:
As for the crystal system: tetragonal. Its space-group type is No. 139. The calculation puts the energy at -7.75 eV/atom.

Unit cell a=11.438 b=11.438 c=11.438 alpha=159.74 beta=159.74 gamma=28.81
Fractional coordinates of all 12 atoms:
K1 0.193 0.193 0.000
K2 0.807 0.807 0.000
Ta1 0.403 0.403 0.000
Ta2 0.597 0.597 0.000
Pb1 0.000 0.000 0.000
O1 0.090 0.590 0.500
O2 0.318 0.318 0.000
O3 0.410 0.910 0.500
O4 0.500 0.500 0.000
O5 0.590 0.090 0.500
O6 0.682 0.682 0.000
O7 0.910 0.410 0.500

***

(4)
VASP calculation (PBE) on crystalline In2ReTe at its relaxed geometry.

Summary:
As for the crystal system: orthorhombic. Its space-group type is No. 44. The calculation puts the energy at -4.93 eV/atom.

Unit cell a=7.151 b=7.151 c=7.151 alpha=154.26 beta=142.03 gamma=46.45
Fractional coordinates of all 4 atoms:
In1 0.000 0.000 0.000
In2 0.673 0.173 0.500
Re1 0.189 0.689 0.500
Te1 0.353 0.353 0.000

***

(5)
VASP calculation (PBE) on crystalline NaTbSn2 at its relaxed geometry.

Summary:
As for the crystal system: trigonal. Its space-group type is No. 166. As for the formation energy: -0.262 eV/atom.

Unit cell a=10.581 b=10.581 c=10.581 alpha=19.29 beta=19.29 gamma=19.29
Fractional coordinates of all 4 atoms:
Na1 0.000 0.000 0.000
Tb1 0.500 0.500 0.500
Sn1 0.249 0.249 0.249
Sn2 0.751 0.751 0.751

***

(6)
VASP calculation (PBE) on crystalline BaTa2Mn at its relaxed geometry.

Summary:
As for the crystal system: monoclinic. Its space-group type is No. 12. As for the formation energy: 1.149 eV/atom.

Unit cell a=6.260 b=6.260 c=3.029 alpha=103.33 beta=103.33 gamma=123.33
Fractional coordinates of all 4 atoms:
Ba1 0.000 0.000 0.000
Ta1 0.000 0.500 0.500
Ta2 0.500 0.000 0.500
Mn1 0.500 0.500 0.000

***

(7)
VASP calculation (PBE) on crystalline MgZn2Sb at its relaxed geometry.

Summary:
As for the crystal system: orthorhombic. Its space-group type is No. 65. The calculation puts the energy at -2.03 eV/atom.

Unit cell a=5.200 b=5.200 c=3.228 alpha=90.00 beta=90.00 gamma=111.40
Fractional coordinates of all 4 atoms:
Mg1 0.000 0.000 0.000
Zn1 0.000 0.500 0.500
Zn2 0.500 0.000 0.500
Sb1 0.500 0.500 0.000

***

(8)
VASP calculation (PBE) on crystalline ZrSc2PbC at its relaxed geometry.

Summary:
As for the crystal system: tetragonal. Its space-group type is No. 123. As for the formation energy: -0.584 eV/atom.

Unit cell a=4.565 b=4.565 c=4.598 alpha=90.00 beta=90.00 gamma=90.00
Fractional coordinates of all 5 atoms:
Zr1 0.000 0.000 0.000
Sc1 0.000 0.500 0.500
Sc2 0.500 0.000 0.500
Pb1 0.500 0.500 0.000
C1 0.000 0.000 0.500